LiFePO4 | PBE with a Hubbard U | relaxed

Output
Crystal system: monoclinic
Volume (Å³/atom): 11.7
Excess energy over the best structure of this formula in the dataset (eV per atom): 0.081
Space group: No. 7

a = 4.743 Å, b = 8.119 Å, c = 8.521 Å
α = 90.00°, β = 90.05°, γ = 89.99°
Each line ends with the local moment (μB).
Fractional coordinates of all 28 atoms:
Li 0.063 0.108 0.001  0.00
Li 0.563 0.392 0.501  0.00
Li 0.063 0.608 0.500  0.00
Li 0.562 0.892 0.000  0.00
Fe 0.962 0.566 0.848  3.76
Fe 0.462 0.934 0.348  3.76
Fe 0.963 0.066 0.651  3.76
Fe 0.463 0.434 0.151  3.76
P 0.550 0.239 0.827  0.01
P 0.050 0.261 0.327  0.01
P 0.550 0.739 0.673  0.01
P 0.050 0.761 0.173  0.01
O 0.693 0.095 0.914  0.01
O 0.193 0.405 0.414  0.01
O 0.694 0.595 0.587  0.01
O 0.193 0.905 0.087  0.01
O 0.111 0.095 0.419  0.03
O 0.610 0.406 0.919  0.03
O 0.111 0.595 0.081  0.03
O 0.611 0.905 0.581  0.03
O 0.228 0.207 0.809  0.02
O 0.728 0.294 0.309  0.02
O 0.228 0.707 0.691  0.02
O 0.728 0.793 0.191  0.02
O 0.684 0.255 0.663  0.03
O 0.185 0.245 0.163  0.03
O 0.685 0.756 0.837  0.03
O 0.185 0.744 0.337  0.03